The following is a PBE-GGA calculation of Nd3Ga8Au3 after structural relaxation, from Alexandria.

Lattice parameters (Å, degrees): 4.458 8.510 8.378 72.31 74.57 74.82
Fractional coordinates of all 14 atoms:
1 Nd 0.310 0.679 0.700
2 Nd 0.690 0.321 0.300
3 Nd 0.000 0.000 0.000
4 Ga 0.147 0.126 0.580
5 Ga 0.853 0.874 0.420
6 Ga 0.858 0.421 0.863
7 Ga 0.142 0.579 0.137
8 Ga 0.491 0.707 0.310
9 Ga 0.509 0.293 0.690
10 Ga 0.338 0.042 0.282
11 Ga 0.662 0.958 0.718
12 Au 0.000 0.500 0.500
13 Au 0.654 0.705 0.987
14 Au 0.346 0.295 0.013

Results
**Calculated volume**: 286 Å³/cell
**ΔE to the lowest computed polymorph**: 0.0 meV/atom